(1)
Compound: ErScO
Source: Alexandria via LeMat-Bulk
Functional: PBE
Structure: relaxed

```
12
Lattice="4.700 0.142 0.000 -0.231 7.632 0.000 0.000 0.000 6.515" Properties=species:S:1:pos:R:3 pbc="T T T"
Sc 3.384 4.786 2.657
Sc 1.034 4.715 0.601
Sc 3.436 3.060 5.914
Sc 1.086 2.989 3.858
O 3.383 4.785 0.574
O 1.033 4.714 2.683
O 3.436 3.061 3.831
O 1.086 2.990 5.941
Er 3.324 6.748 6.025
Er 0.974 6.677 3.747
Er 3.495 1.098 2.767
Er 1.145 1.026 0.490
```

Properties
Uncorrected formation energy = -5.66 eV per formula unit
Relative energy among the computed polymorphs = 0.0 meV per atom
D(E_F) = 0.976 states/eV/atom
ρ = 6.48 g/cm³
Magnetization = 0.00 Bohr magnetons per cell
Uncorrected energy = -86.03 eV per cell

=====

(2)
Compound: ErScO3
Source: Alexandria via LeMat-Bulk
Functional: PBE
Structure: relaxed

```
10
Lattice="3.337 0.000 -0.715 0.000 5.629 0.000 -0.288 0.000 6.800" Properties=species:S:1:pos:R:3 pbc="T T T"
Er 2.532 3.093 3.672
Er 0.517 0.278 2.413
Sc 1.243 0.078 5.802
Sc 1.806 2.893 0.283
O 2.159 1.755 1.928
O 0.891 4.570 4.157
O 3.000 3.690 5.855
O 0.049 0.876 0.230
O 2.068 4.505 1.508
O 0.981 1.690 4.577
```

Properties
Uncorrected formation energy = -17.42 eV per formula unit
D(E_F) = 0.000 states/eV/atom
ρ = 6.83 g/cm³
Magnetization = 0.00 Bohr magnetons per cell
Uncorrected energy = -86.37 eV per cell

=====

(3)
Compound: ErScO
Source: Alexandria via LeMat-Bulk
Functional: PBE
Structure: relaxed

```
6
Lattice="3.972 0.000 0.000 0.000 3.972 0.000 0.000 0.000 7.441" Properties=species:S:1:pos:R:3 pbc="T T T"
Er 0.000 0.000 5.581
Er 0.000 0.000 1.860
Sc 1.986 1.986 0.000
Sc 1.986 1.986 3.721
O 1.986 0.000 3.721
O 0.000 1.986 0.000
```

Properties
Uncorrected formation energy = -5.14 eV per formula unit
Relative energy among the computed polymorphs = 170.5 meV per atom
D(E_F) = 1.007 states/eV/atom
ρ = 6.45 g/cm³
Magnetization = 0.00 Bohr magnetons per cell
Uncorrected energy = -41.99 eV per cell

=====

(4)
Compound: Er2Sc4Si3O2
Source: Alexandria via LeMat-Bulk
Functional: PBE
Structure: relaxed

```
11
Lattice="4.248 0.000 0.000 0.000 4.248 0.000 -2.124 -2.124 11.310" Properties=species:S:1:pos:R:3 pbc="T T T"
Er 0.000 0.000 6.884
Er 2.124 2.124 4.426
Sc 0.000 2.124 9.521
Sc 2.124 0.000 9.521
Sc 0.000 2.124 1.790
Sc 2.124 0.000 1.790
Si 0.000 0.000 0.000
Si 0.000 0.000 3.892
Si 2.124 2.124 7.419
O 0.000 0.000 9.246
O 2.124 2.124 2.064
```

Properties
Uncorrected formation energy = -17.38 eV per formula unit
D(E_F) = 0.687 states/eV/atom
ρ = 5.13 g/cm³
Magnetization = 0.00 Bohr magnetons per cell
Uncorrected energy = -78.01 eV per cell

=====

(5)
Compound: Tb2ErScO6
Source: Alexandria via LeMat-Bulk
Functional: PBE
Structure: relaxed

```
10
Lattice="-0.740 -3.947 -4.059 3.690 -0.356 -4.342 3.736 -4.626 -0.199" Properties=species:S:1:pos:R:3 pbc="T T T"
Tb 3.104 -4.187 -4.526
Tb 3.511 -4.365 -0.412
Er 4.529 -6.134 -6.909
Sc 1.156 -1.634 -2.637
O 1.239 -3.617 -3.355
O 4.292 -2.298 -4.967
O 2.466 -5.122 -6.500
O 5.079 -5.463 -4.892
O 2.773 -6.294 -3.470
O 4.341 -4.145 -2.494
```

Properties
Uncorrected formation energy = -35.27 eV per formula unit
D(E_F) = 0.000 states/eV/atom
ρ = 7.43 g/cm³
Magnetization = 0.00 Bohr magnetons per cell
Uncorrected energy = -85.17 eV per cell

=====

(6)
Compound: ErSc2TcO8
Source: Alexandria via LeMat-Bulk
Functional: PBE
Structure: relaxed

```
12
Lattice="4.869 -0.023 -0.003 0.000 4.863 -0.005 0.004 0.007 6.446" Properties=species:S:1:pos:R:3 pbc="T T T"
Er 0.002 0.004 3.223
Sc 2.438 2.425 4.783
Sc 2.436 2.422 1.655
Tc 0.000 0.000 0.000
O 0.927 3.928 1.364
O 3.506 3.489 -0.006
O 3.944 0.914 1.365
O 3.946 0.918 5.074
O 1.368 1.358 6.443
O 0.930 3.932 5.072
O 3.338 3.327 3.217
O 1.536 1.520 3.220
```

Properties
Uncorrected formation energy = -31.50 eV per formula unit
ρ = 5.26 g/cm³
Magnetization = 0.00 Bohr magnetons per cell
Uncorrected energy = -98.76 eV per cell

=====

(7)
Compound: ErScTeO2
Source: Alexandria via LeMat-Bulk
Functional: PBE
Structure: relaxed

```
10
Lattice="3.985 0.000 0.000 0.000 6.607 -0.366 0.000 -1.871 7.201" Properties=species:S:1:pos:R:3 pbc="T T T"
Er 0.996 2.730 6.425
Er 2.989 2.007 0.411
Sc 0.996 3.487 2.736
Sc 2.989 1.249 4.100
Te 0.996 -1.114 5.354
Te 2.989 5.850 1.481
O 2.989 2.679 2.599
O 0.996 2.057 4.237
O 2.989 1.805 6.092
O 0.996 2.932 0.744
```

Properties
Uncorrected formation energy = -14.43 eV per formula unit
ρ = 6.61 g/cm³
Magnetization = 0.00 Bohr magnetons per cell
Uncorrected energy = -76.76 eV per cell

=====

(8)
Compound: Er2ScTe2O2
Source: Alexandria via LeMat-Bulk
Functional: PBE
Structure: relaxed

```
7
Lattice="4.113 0.000 0.000 0.000 4.113 0.000 -2.057 -2.057 8.362" Properties=species:S:1:pos:R:3 pbc="T T T"
Er 0.000 0.000 6.694
Er 2.057 2.057 1.668
Sc 0.000 0.000 0.000
Te 0.000 0.000 2.951
Te 2.057 2.057 5.412
O 0.000 2.057 0.000
O 2.057 0.000 0.000
```

Properties
Uncorrected formation energy = -15.11 eV per formula unit
D(E_F) = 0.506 states/eV/atom
ρ = 7.82 g/cm³
Magnetization = 0.00 Bohr magnetons per cell
Uncorrected energy = -46.77 eV per cell

=====

(9)
Compound: ErScTeO6
Source: Alexandria via LeMat-Bulk
Functional: PBE
Structure: relaxed

```
18
Lattice="-5.056 -1.773 0.906 2.233 -0.555 -4.923 3.242 -8.031 2.376" Properties=species:S:1:pos:R:3 pbc="T T T"
Er 0.614 -2.969 -2.386
Er -0.195 -7.390 0.745
Sc 0.000 0.000 0.000
Sc 1.621 -4.015 1.188
Te -1.816 -3.375 -0.443
Te 2.235 -6.984 -1.198
O -1.597 -2.599 -2.230
O -3.721 -2.913 -0.393
O 2.570 -6.148 -2.939
O 4.140 -7.447 -1.247
O 0.098 -3.795 -0.361
O -2.217 -5.037 -1.403
O 1.727 -8.665 -2.072
O -2.151 -4.211 1.299
O 2.635 -5.322 -0.238
O -1.308 -1.695 0.431
O 0.321 -6.565 -1.280
O 2.016 -7.760 0.590
```

Properties
Uncorrected formation energy = -21.38 eV per formula unit
D(E_F) = 0.000 states/eV/atom
ρ = 6.30 g/cm³
Magnetization = 0.00 Bohr magnetons per cell
Uncorrected energy = -130.33 eV per cell

=====

(10)
Compound: ErSc2TlO
Source: Alexandria via LeMat-Bulk
Functional: PBE
Structure: relaxed

```
5
Lattice="4.679 0.000 0.000 0.000 4.508 0.000 0.000 0.000 4.508" Properties=species:S:1:pos:R:3 pbc="T T T"
Er 2.339 0.000 0.000
Sc 0.000 0.000 2.254
Sc 0.000 2.254 0.000
Tl 2.339 2.254 2.254
O 0.000 0.000 0.000
```

Properties
Uncorrected formation energy = -6.84 eV per formula unit
D(E_F) = 0.515 states/eV/atom
ρ = 8.34 g/cm³
Magnetization = 0.00 Bohr magnetons per cell
Uncorrected energy = -31.39 eV per cell

=====

(11)
Compound: Er2ScTlO
Source: Alexandria via LeMat-Bulk
Functional: PBE
Structure: relaxed

```
5
Lattice="4.487 0.000 0.000 0.000 4.739 0.000 0.000 0.000 4.739" Properties=species:S:1:pos:R:3 pbc="T T T"
Er 0.000 0.000 2.369
Er 0.000 2.369 0.000
Sc 2.243 0.000 0.000
Tl 2.243 2.369 2.369
O 0.000 0.000 0.000
```

Properties
Uncorrected formation energy = -6.74 eV per formula unit
D(E_F) = 0.494 states/eV/atom
ρ = 9.89 g/cm³
Magnetization = 0.00 Bohr magnetons per cell
Uncorrected energy = -29.53 eV per cell

=====

(12)
Compound: ErScTl2O6
Source: Alexandria via LeMat-Bulk
Functional: PBE
Structure: relaxed

```
10
Lattice="5.689 0.000 0.000 2.844 4.926 0.000 2.844 1.642 5.025" Properties=species:S:1:pos:R:3 pbc="T T T"
Er 8.533 4.926 2.837
Sc 2.844 1.642 0.284
Tl 5.689 3.284 2.023
Tl 2.844 1.642 4.565
O 4.690 1.418 1.299
O 4.572 5.082 1.299
O 7.804 3.353 1.299
O 6.585 4.662 3.865
O 6.434 1.819 3.865
O 4.047 3.372 3.865
```

Properties
Uncorrected formation energy = -20.78 eV per formula unit
ρ = 8.45 g/cm³
Magnetization = 0.00 Bohr magnetons per cell
Uncorrected energy = -66.16 eV per cell